# TePdW2N

Crystalline TePdW2N at its relaxed geometry (GGA-PBE, the Alexandria database).

Computed properties:
Space-group type: P4/mmm (123)
Formation energy from raw total energies: 2.47 eV/atom
DFT total energy: -6.043 eV/atom

Unit cell a=5.053 b=5.053 c=3.942 alpha=90.00 beta=90.00 gamma=90.00
Fractional coordinates of all 5 atoms:
Te (0.000, 0.000, 0.000)
Pd (0.500, 0.500, 0.500)
W (0.000, 0.500, 0.000)
W (0.500, 0.000, 0.000)
N (0.000, 0.000, 0.500)